# 1
First-principles (PBE-GGA) data for crystalline Cu5Sn3Se12 at its relaxed geometry, as listed in Alexandria via LeMat-Bulk.

Lattice parameters (Å, degrees): 15.5356 15.5356 15.5356 90.00 90.00 90.00
Space group Ia-3d (No. 230)
Symmetry-distinct sites (fractional):
Cu  0.0000  0.0000  0.0000 (multiplicity 16)
Cu  0.0000  0.2500  0.3750 (multiplicity 24)
Sn  0.0000  0.2500  0.1250 (multiplicity 24)
Se  0.0223  0.0505  0.6522 (multiplicity 96)

## Properties
Fermi-level density of states (states/eV/atom): 0.728
Formation energy (no corrections) (kJ per mole of atoms): -2.9
Final energy (eV per atom): -3.745



# 2
First-principles (PBE-GGA) data for crystalline TbCuSn2Se5 at its relaxed geometry, as listed in Alexandria via LeMat-Bulk.

Lattice parameters (Å, degrees): 3.9947 19.3004 13.5875 90.00 90.00 90.00
Space group Cmc2_1 (No. 36)
Symmetry-distinct sites (fractional):
Tb  0.0000  0.1894  0.0000 (multiplicity 4)
Cu  0.0000  0.4285  0.4162 (multiplicity 4)
Sn  0.0000  0.0651  0.1966 (multiplicity 4)
Sn  0.0000  0.1685  0.6632 (multiplicity 4)
Se  0.0000  0.0349  0.0031 (multiplicity 4)
Se  0.0000  0.3101  0.3529 (multiplicity 4)
Se  0.0000  0.3150  0.6607 (multiplicity 4)
Se  0.0000  0.3361  0.0239 (multiplicity 4)
Se  0.0000  0.4776  0.2527 (multiplicity 4)

## Properties
Fermi-level density of states (states/eV/atom): 0.586
Formation energy (no corrections) (kJ per mole of atoms): -65.3
Final energy (eV per atom): -4.472



# 3
First-principles (PBE-GGA) data for crystalline Tb3CuSnSe7 at its relaxed geometry, as listed in Alexandria via LeMat-Bulk.

Lattice parameters (Å, degrees): 10.2785 10.2785 6.5126 90.00 90.00 120.00
Space group P6_3 (No. 173)
Symmetry-distinct sites (fractional):
Tb  0.1504  0.7930  0.0000 (multiplicity 6)
Cu  0.0000  0.0000  0.0989 (multiplicity 2)
Sn  0.3333  0.6667  0.4284 (multiplicity 2)
Se  0.0789  0.5179  0.2463 (multiplicity 6)
Se  0.1158  0.8516  0.5724 (multiplicity 6)
Se  0.3333  0.6667  0.8206 (multiplicity 2)

## Properties
Formation energy (no corrections) (kJ per mole of atoms): -123.2
Final energy (eV per atom): -5.142



# 4
First-principles (PBE-GGA) data for crystalline Tb2CuSnSe5 at its relaxed geometry, as listed in Alexandria via LeMat-Bulk.

Lattice parameters (Å, degrees): 3.9649 17.3277 12.2716 90.00 90.00 90.00
Space group Cmc2_1 (No. 36)
Symmetry-distinct sites (fractional):
Tb  0.0000  0.1166  0.0000 (multiplicity 4)
Tb  0.0000  0.1195  0.3786 (multiplicity 4)
Cu  0.0000  0.4962  0.6863 (multiplicity 4)
Sn  0.0000  0.1835  0.6925 (multiplicity 4)
Se  0.0000  0.0355  0.7780 (multiplicity 4)
Se  0.0000  0.2950  0.3601 (multiplicity 4)
Se  0.0000  0.2960  0.0204 (multiplicity 4)
Se  0.0000  0.3514  0.6933 (multiplicity 4)
Se  0.0000  0.4909  0.9926 (multiplicity 4)

## Properties
Fermi-level density of states (states/eV/atom): 0.250
Formation energy (no corrections) (kJ per mole of atoms): -107.4
Final energy (eV per atom): -4.977



# 5
First-principles (PBE-GGA) data for crystalline CuSnTeSe at its relaxed geometry, as listed in Alexandria via LeMat-Bulk.

Lattice parameters (Å, degrees): 7.7660 4.5047 7.3111 90.00 110.71 90.00
Space group Cm (No. 8)
Symmetry-distinct sites (fractional):
Cu  0.0000  0.0000  0.0000 (multiplicity 2)
Sn  0.4938  0.0000  0.4815 (multiplicity 2)
Te  0.3552  0.0000  0.0634 (multiplicity 2)
Se  0.3776  0.5000  0.6312 (multiplicity 2)

## Properties
Fermi-level density of states (states/eV/atom): 0.601
Formation energy (no corrections) (kJ per mole of atoms): -13.0
Final energy (eV per atom): -3.817



# 6
First-principles (PBE-GGA) data for crystalline CuSn2TeSe at its relaxed geometry, as listed in Alexandria via LeMat-Bulk.

Lattice parameters (Å, degrees): 5.9961 5.9961 4.6626 90.00 90.00 90.00
Space group P4/mmm (No. 123)
Symmetry-distinct sites (fractional):
Cu  0.0000  0.0000  0.0000 (multiplicity 1)
Sn  0.0000  0.5000  0.5000 (multiplicity 2)
Te  0.0000  0.0000  0.5000 (multiplicity 1)
Se  0.5000  0.5000  0.0000 (multiplicity 1)

## Properties
Fermi-level density of states (states/eV/atom): 0.470
Formation energy (no corrections) (kJ per mole of atoms): 47.6
Final energy (eV per atom): -3.253



# 7
First-principles (PBE-GGA) data for crystalline Tl2CuSnSe4 at its relaxed geometry, as listed in Alexandria via LeMat-Bulk.

Lattice parameters (Å, degrees): 7.5419 7.5419 8.2366 90.00 90.00 90.00
Space group I-4 (No. 82)
Symmetry-distinct sites (fractional):
Tl  0.0000  0.0000  0.0000 (multiplicity 2)
Tl  0.0000  0.5000  0.2500 (multiplicity 2)
Cu  0.0000  0.0000  0.5000 (multiplicity 2)
Sn  0.0000  0.5000  0.7500 (multiplicity 2)
Se  0.1671  0.2560  0.5875 (multiplicity 8)

## Properties
Fermi-level density of states (states/eV/atom): 0.722
Formation energy (no corrections) (kJ per mole of atoms): -29.8
Final energy (eV per atom): -3.655



# 8
First-principles (PBE-GGA) data for crystalline TlCuSnSe2 at its relaxed geometry, as listed in Alexandria via LeMat-Bulk.

Lattice parameters (Å, degrees): 7.8077 4.9289 8.1121 90.00 110.59 90.00
Space group P2/c (No. 13)
Symmetry-distinct sites (fractional):
Tl  0.0000  0.2149  0.2500 (multiplicity 2)
Cu  0.5000  0.0000  0.0000 (multiplicity 2)
Sn  0.5000  0.3866  0.7500 (multiplicity 2)
Se  0.2597  0.2732  0.0017 (multiplicity 4)

## Properties
Fermi-level density of states (states/eV/atom): 0.012
Formation energy (no corrections) (kJ per mole of atoms): -27.2
Final energy (eV per atom): -3.769



# 9
First-principles (PBE-GGA) data for crystalline TlCu2SnSe4 at its relaxed geometry, as listed in Alexandria via LeMat-Bulk.

Lattice parameters (Å, degrees): 6.1731 6.1731 11.3465 90.00 90.00 90.00
Space group I-42m (No. 121)
Symmetry-distinct sites (fractional):
Tl  0.0000  0.0000  0.0000 (multiplicity 2)
Cu  0.0000  0.5000  0.2500 (multiplicity 4)
Sn  0.0000  0.0000  0.5000 (multiplicity 2)
Se  0.2283  0.2283  0.6500 (multiplicity 8)

## Properties
Fermi-level density of states (states/eV/atom): 0.438
Formation energy (no corrections) (kJ per mole of atoms): -24.6
Final energy (eV per atom): -3.818